## NiSnP2O8 (PBE+U)

Data for a relaxed structure of NiSnP2O8. Values from VASP.

Properties
* polymorph energy (0 for the lowest one): 0.000 eV per atom
* V: 146.1 Å³/f.u.
* total magnetization: 2.0 μB per formula unit

Quantum ESPRESSO input file:
```
&SYSTEM
  ibrav = 0, nat = 24, ntyp = 4
/
ATOMIC_SPECIES
O 16.00 O.upf
Sn 118.71 Sn.upf
Ni 58.69 Ni.upf
P 30.97 P.upf
ATOMIC_POSITIONS angstrom
O -5.6171 -4.2653 2.9170
Sn -3.4409 -3.5169 7.1896
O -5.7096 -1.1974 4.6254
O -2.0105 -6.4195 5.0620
O -6.5434 -5.8146 6.4575
O -4.7561 0.2140 0.9042
O -3.4285 -1.9370 2.1419
Ni -2.2438 -0.2806 3.1330
O -2.7068 -1.0367 4.9104
P -2.2789 -3.0304 2.1356
O -7.2592 -3.1454 5.1632
O -3.9873 0.9013 3.2794
P -4.9066 1.2631 2.0263
Ni -6.0801 -5.0215 4.6944
O -4.8954 -3.3650 5.6855
O -1.0647 -2.1567 2.6643
O -4.3366 -6.2034 4.5480
P -6.0450 -2.2716 5.6918
O -3.5677 -5.5161 6.9232
O -2.6143 -4.1047 3.2021
O -6.3133 1.1174 2.7655
P -3.4173 -6.5651 5.8012
Sn -4.8830 -1.7851 0.6378
O -1.7805 0.5125 1.3700
CELL_PARAMETERS angstrom
-0.6683 2.6170 4.1244
-5.7700 0.5361 -1.2751
-1.8856 -8.4551 4.9781
```